Record 1
The following is a DFT calculation (PBE) of a relaxed MgAlCu3 crystal.

Cell lengths 6.765, 6.765, 4.586 Å; angles 90.00, 90.00, 122.94 degrees
Fractional positions:
Mg: 0.077 0.923 0.750
Mg: 0.923 0.077 0.250
Al: 0.319 0.681 0.750
Al: 0.681 0.319 0.250
Cu: 0.112 0.523 0.250
Cu: 0.477 0.888 0.250
Cu: 0.500 0.500 0.000
Cu: 0.500 0.500 0.500
Cu: 0.523 0.112 0.750
Cu: 0.888 0.477 0.750

- Relative energy among the computed polymorphs: 0.000 eV/atom
- Crystal system: orthorhombic
- Size of the total moment: 0.0000 μB/atom
- Volume: 88.1 Å³/f.u.

Record 2
The following is a DFT calculation (PBE) of a relaxed MgAl2Cu crystal.

Cell lengths 4.959, 4.959, 2.853 Å; angles 90.00, 90.00, 111.51 degrees
Fractional positions:
Mg: 0.000 0.000 0.000
Al: 0.000 0.500 0.500
Al: 0.500 0.000 0.500
Cu: 0.500 0.500 0.000

- Crystal system: orthorhombic
- Size of the total moment: 0.0000 μB/atom
- Volume: 65.3 Å³/f.u.
- Energy: -13.10 eV per cell

Record 3
The following is a DFT calculation (PBE) of a relaxed MgAl4Cu15 crystal.

Cell lengths 3.777, 3.777, 17.786 Å; angles 90.00, 90.00, 90.00 degrees
Fractional positions:
Mg: 0.000 0.000 0.000
Al: 0.000 0.000 0.202
Al: 0.000 0.000 0.401
Al: 0.000 0.000 0.599
Al: 0.000 0.000 0.798
Cu: 0.000 0.500 0.105
Cu: 0.000 0.500 0.302
Cu: 0.000 0.500 0.500
Cu: 0.000 0.500 0.698
Cu: 0.000 0.500 0.895
Cu: 0.500 0.000 0.105
Cu: 0.500 0.000 0.302
Cu: 0.500 0.000 0.500
Cu: 0.500 0.000 0.698
Cu: 0.500 0.000 0.895
Cu: 0.500 0.500 0.000
Cu: 0.500 0.500 0.203
Cu: 0.500 0.500 0.401
Cu: 0.500 0.500 0.599
Cu: 0.500 0.500 0.797

- Crystal system: tetragonal
- Size of the total moment: 0.0000 μB/atom
- Volume: 253.7 Å³/f.u.
- Energy: -81.34 eV per cell

Record 4
The following is a DFT calculation (PBE) of a relaxed MgAlCu crystal.

Cell lengths 5.239, 5.239, 4.956 Å; angles 93.11, 93.11, 47.95 degrees
Fractional positions:
Mg: 0.000 0.000 0.000
Mg: 0.556 0.556 0.486
Al: 0.268 0.268 0.762
Al: 0.846 0.846 0.480
Cu: 0.270 0.270 0.259
Cu: 0.708 0.708 0.991

- Crystal system: monoclinic
- Size of the total moment: 0.0000 μB/atom
- Volume: 50.4 Å³/f.u.
- Energy: -19.56 eV per cell

Record 5
The following is a DFT calculation (PBE) of a relaxed MgAl2Cu3 crystal.

Cell lengths 3.087, 3.087, 8.887 Å; angles 90.00, 90.00, 90.00 degrees
Fractional positions:
Mg: 0.000 0.000 0.000
Al: 0.000 0.000 0.340
Al: 0.000 0.000 0.660
Cu: 0.500 0.500 0.190
Cu: 0.500 0.500 0.500
Cu: 0.500 0.500 0.810

- Crystal system: tetragonal
- Size of the total moment: 0.0000 μB/atom
- Volume: 84.7 Å³/f.u.
- Energy: -22.41 eV per cell

Record 6
The following is a DFT calculation (PBE) of a relaxed Mg2AlCu crystal.

Cell lengths 3.125, 4.332, 5.482 Å; angles 90.00, 106.06, 90.00 degrees
Fractional positions:
Mg: 0.000 0.000 0.000
Mg: 0.329 0.500 0.667
Al: 0.607 0.500 0.215
Cu: 0.728 0.000 0.464

- Crystal system: monoclinic
- Size of the total moment: 0.0000 μB/atom
- Volume: 71.3 Å³/f.u.
- Energy: -11.27 eV per cell

Question: volume of number 4 (MgAlCu)?
Answer: 50.4 Å³/f.u.

Question: Look up the size of the total moment of the fourth one.
Answer: 0.0000 μB/atom

Question: The lowest volume belongs to which entry?
Answer: MgAlCu